First-principles (PBEsol) data for a relaxed structure of Tl3NCl, as listed in Alexandria.

Calculated values
Formation energy without anion corrections ... 1.433 eV per formula unit
Calculated density ... 8.80 Mg/m³
E ... -3.40 eV per atom
Calculated volume ... 125 Å³ per cell
SG ... Pm-3m
Crystal system ... cubic

Cell and atoms, written as POSCAR:
```
Tl3NCl
1.0
5.001 0.000 0.000
0.000 5.001 0.000
0.000 0.000 5.001
Tl N Cl
3 1 1
Cartesian
0.000 0.000 2.500
0.000 2.500 0.000
2.500 0.000 0.000
0.000 0.000 0.000
2.500 2.500 2.500
```